Computed, not measured: GaSb2HN after structural relaxation at the GGA-PBE level of DFT.

Spin magnetization   0.0 μB/f.u.
Calculated total energy   -4.088 eV/atom
Space group   P4/mmm, No. 123

Unit cell a=5.2562 b=5.2562 c=2.9372 alpha=90.00 beta=90.00 gamma=90.00
Fractional positions:
1 Ga 0.0000 0.0000 0.0000
2 Sb 0.0000 0.5000 0.5000
3 Sb 0.5000 0.0000 0.5000
4 H 0.5000 0.5000 0.0000
5 N 0.5000 0.5000 0.5000